ScAlHg | PBE | optimized geometry

Lattice parameters (Å, degrees): 4.574 4.574 6.616 90.00 90.00 120.00
Sites, in units of the cell vectors:
1 Hg 0.667 0.833 0.250
2 Hg 0.333 0.167 0.750
3 Sc 0.000 0.500 0.500
4 Sc 0.000 0.500 0.000
5 Al 0.333 0.167 0.250
6 Al 0.667 0.833 0.750

D(E_F)   1.79 states/eV/f.u.
Calculated formation energy   -0.366 eV per atom
Space-group type   P6_3/mmc, No. 194

---

Sc4AlHg | PBE | optimized geometry

Lattice parameters (Å, degrees): 5.775 5.775 5.775 60.00 60.00 60.00
Sites, in units of the cell vectors:
1 Al 0.750 0.750 0.750
2 Sc 0.873 0.376 0.376
3 Sc 0.376 0.376 0.376
4 Sc 0.376 0.873 0.376
5 Sc 0.376 0.376 0.873
6 Hg 0.000 0.000 0.000

D(E_F)   6.28 states/eV/f.u.
Calculated formation energy   0.201 eV per atom
Space-group type   F-43m, No. 216

---

Sc3Al3Hg2 | PBE | optimized geometry

Lattice parameters (Å, degrees): 4.392 5.709 14.131 90.00 90.00 112.62
Sites, in units of the cell vectors:
1 Hg 0.218 0.436 0.106
2 Hg 0.782 0.564 0.606
3 Hg 0.218 0.436 0.394
4 Hg 0.782 0.564 0.894
5 Al 0.604 0.208 0.454
6 Al 0.609 0.217 0.750
7 Al 0.396 0.792 0.954
8 Al 0.604 0.208 0.046
9 Al 0.396 0.792 0.546
10 Al 0.391 0.783 0.250
11 Sc 0.333 0.665 0.750
12 Sc 0.667 0.335 0.250
13 Sc 0.925 0.851 0.387
14 Sc 0.075 0.149 0.613
15 Sc 0.075 0.149 0.887
16 Sc 0.925 0.851 0.113

D(E_F)   5.82 states/eV/f.u.
Calculated formation energy   -0.364 eV per atom
Space-group type   Cmcm, No. 63

---

Sc6AlHg | PBE | optimized geometry

Lattice parameters (Å, degrees): 5.082 5.082 8.395 75.75 75.75 75.13
Sites, in units of the cell vectors:
1 Sc 0.066 0.559 0.306
2 Sc 0.357 0.357 0.939
3 Sc 0.643 0.643 0.061
4 Sc 0.559 0.066 0.306
5 Sc 0.441 0.934 0.694
6 Sc 0.934 0.441 0.694
7 Hg 0.000 0.000 0.000
8 Al 0.500 0.500 0.500

D(E_F)   12.72 states/eV/f.u.
Calculated formation energy   0.056 eV per atom
Space-group type   C2/m, No. 12

---

Sc2AlHg | PBE | optimized geometry

Lattice parameters (Å, degrees): 5.102 5.102 3.253 90.00 90.00 102.94
Each line ends with the local moment (μB).
Sites, in units of the cell vectors:
1 Sc 0.500 0.500 0.000  0.09
2 Sc 0.000 0.000 0.000  0.09
3 Al 0.500 0.000 0.500  0.00
4 Hg 0.000 0.500 0.500  0.00

D(E_F)   3.19 states/eV/f.u.
Calculated formation energy   -0.401 eV per atom
Space-group type   Cmmm, No. 65

---

ScAlHg | PBE | optimized geometry

Lattice parameters (Å, degrees): 8.369 5.964 4.828 90.00 90.00 90.00
Sites, in units of the cell vectors:
1 Sc 0.333 0.250 0.000
2 Sc 0.667 0.750 0.000
3 Sc 0.833 0.250 0.500
4 Sc 0.167 0.750 0.500
5 Al 0.000 0.500 0.000
6 Al 0.000 0.000 0.000
7 Al 0.500 0.000 0.500
8 Al 0.500 0.500 0.500
9 Hg 0.833 0.750 0.500
10 Hg 0.167 0.250 0.500
11 Hg 0.333 0.750 0.000
12 Hg 0.667 0.250 0.000

D(E_F)   0.86 states/eV/f.u.
Calculated formation energy   -0.293 eV per atom
Space-group type   P6_3/mmc, No. 194